[1]
First-principles (PBE+U) data for a geometry-optimized Na3SmV2O8 structure, as listed in Alexandria.

## Properties
The total energy comes out at -6.714 eV per atom. The symmetry is P-3m1 (164).

a = 5.9983 Å, b = 5.9983 Å, c = 7.0999 Å
α = 90.00°, β = 90.00°, γ = 120.00°
With the nearest neighbours (Å) after each atom.
Element x y z (fractional)
Na 0.3333 0.6667 0.6678  1 O 2.18
Na 0.6667 0.3333 0.3322  1 O 2.18
Na 0.0000 0.0000 0.0000  6 O 2.82
Sm 0.0000 0.0000 0.5000  6 O 2.30
V 0.3333 0.6667 0.2113  4 O 1.68-1.77
V 0.6667 0.3333 0.7887  4 O 1.68-1.77
O 0.3333 0.6667 0.9752  1 V 1.68
O 0.6667 0.3333 0.0248  1 V 1.68
O 0.1754 0.8246 0.3029  1 V 1.77
O 0.8246 0.1754 0.6971  1 V 1.77
O 0.1754 0.3508 0.3029  1 V 1.77
O 0.8246 0.6492 0.6971  1 V 1.77
O 0.6492 0.8246 0.3029  1 V 1.77
O 0.3508 0.1754 0.6971  1 V 1.77



[2]
First-principles (PBE+U) data for a geometry-optimized NaSm2VO5 structure, as listed in Alexandria.

## Properties
The total energy comes out at -7.332 eV per atom. The symmetry is P4/mbm (127).

a = 5.6875 Å, b = 6.7204 Å, c = 6.7204 Å
α = 90.00°, β = 90.00°, γ = 90.00°
With the nearest neighbours (Å) after each atom.
Element x y z (fractional)
Na 0.0000 0.5000 0.5000  10 O 2.84-2.96
Na 0.0000 0.0000 0.0000  10 O 2.84-2.96
Sm 0.5000 0.6776 0.1776  8 O 2.32-2.57
Sm 0.5000 0.1776 0.3224  8 O 2.32-2.57
Sm 0.5000 0.8224 0.6776  8 O 2.32-2.57
Sm 0.5000 0.3224 0.8224  8 O 2.32-2.57
V 0.0000 0.0000 0.5000  4 O 1.88
V 0.0000 0.5000 0.0000  4 O 1.88
O 0.5000 0.5000 0.5000  4 Sm 2.47
O 0.5000 0.0000 0.0000  4 Sm 2.47
O 0.2429 0.1335 0.6335  1 V 1.88
O 0.2429 0.8665 0.3665  1 V 1.88
O 0.2429 0.3665 0.1335  1 V 1.88
O 0.2429 0.6335 0.8665  1 V 1.88
O 0.7571 0.1335 0.6335  1 V 1.88
O 0.7571 0.6335 0.8665  1 V 1.88
O 0.7571 0.8665 0.3665  1 V 1.88
O 0.7571 0.3665 0.1335  1 V 1.88